The following is a PBE-GGA calculation of crystalline CaNpPaO6 at its relaxed geometry, from Alexandria.

a b c (Å): 5.9235 5.9235 9.4329
angles (deg): 90.00 90.00 120.00
Space group P-31c (No. 163)
Unique sites:
1 Ca 0.0000 0.0000 0.0000 (multiplicity 2)
2 Np 0.3333 0.6667 0.2500 (multiplicity 2)
3 Pa 0.3333 0.6667 0.7500 (multiplicity 2)
4 O 0.0055 0.3605 0.1392 (multiplicity 12)

Summary:
- V: 287 Å³ per cell
- Theoretical density: 7.00 g/cm3
- Uncorrected formation energy: -3171 meV/atom